Density functional theory data (PBE) for a geometry-optimized MgTaCu2S structure.

```
5
Lattice="4.470 0.000 0.000 0.000 4.470 0.000 0.000 0.000 4.418" Properties=species:S:1:pos:R:3 pbc="T T T"
Mg 0.000 0.000 0.000
Ta 2.235 2.235 2.209
Cu 0.000 2.235 0.000
Cu 2.235 0.000 0.000
S 0.000 0.000 2.209
```

Results
Symmetry ... P4/mmm (123)
ΔE_f (raw) ... 1.076 eV per atom
Density of states at the Fermi level ... 4.46 states/eV/f.u.